1.
Ca3La3Pm: relaxed, PBE.

Summary:
space group = P6_3/m (176)
formation energy = 45 meV/atom
total DFT energy (no corrections) = -3.60 eV/atom

abc: 10.161 10.161 6.034
angles: 90.00 90.00 120.00
Element x y z (fractional)
1 Ca 0.059 0.810 0.250
2 Ca 0.190 0.249 0.250
3 Ca 0.249 0.059 0.750
4 Ca 0.751 0.941 0.250
5 Ca 0.810 0.751 0.750
6 Ca 0.941 0.190 0.750
7 La 0.106 0.613 0.750
8 La 0.387 0.494 0.750
9 La 0.494 0.106 0.250
10 La 0.506 0.894 0.750
11 La 0.613 0.506 0.250
12 La 0.894 0.387 0.250
13 Pm 0.333 0.667 0.250
14 Pm 0.667 0.333 0.750

2.
Ca2LaPm5: relaxed, PBE.

Summary:
space group = I4/mmm (139)
formation energy = 52 meV/atom
total DFT energy (no corrections) = -4.03 eV/atom

abc: 11.187 11.187 11.187
angles: 152.88 152.88 38.73
Element x y z (fractional)
1 Ca 0.250 0.250 0.000
2 Ca 0.750 0.750 0.000
3 La 0.000 0.000 0.000
4 Pm 0.118 0.618 0.500
5 Pm 0.382 0.882 0.500
6 Pm 0.500 0.500 0.000
7 Pm 0.618 0.118 0.500
8 Pm 0.882 0.382 0.500

3.
CaLa15Pm4: relaxed, PBE.

Summary:
space group = P4/mmm (123)
formation energy = 18 meV/atom
total DFT energy (no corrections) = -4.73 eV/atom

abc: 5.272 5.272 26.319
angles: 90.00 90.00 90.00
Element x y z (fractional)
1 Ca 0.000 0.000 0.000
2 La 0.000 0.500 0.103
3 La 0.000 0.500 0.300
4 La 0.000 0.500 0.500
5 La 0.000 0.500 0.700
6 La 0.000 0.500 0.897
7 La 0.500 0.000 0.103
8 La 0.500 0.000 0.300
9 La 0.500 0.000 0.500
10 La 0.500 0.000 0.700
11 La 0.500 0.000 0.897
12 La 0.500 0.500 0.000
13 La 0.500 0.500 0.201
14 La 0.500 0.500 0.400
15 La 0.500 0.500 0.600
16 La 0.500 0.500 0.799
17 Pm 0.000 0.000 0.201
18 Pm 0.000 0.000 0.401
19 Pm 0.000 0.000 0.599
20 Pm 0.000 0.000 0.799

4.
CaLa3Pm6: relaxed, PBE.

Summary:
space group = C2/m (12)
formation energy = 206 meV/atom
total DFT energy (no corrections) = -4.32 eV/atom

abc: 6.842 6.842 9.463
angles: 107.23 107.23 60.60
Element x y z (fractional)
1 Ca 0.000 0.000 0.000
2 La 0.067 0.067 0.664
3 La 0.500 0.500 0.500
4 La 0.933 0.933 0.336
5 Pm 0.056 0.558 0.695
6 Pm 0.370 0.370 0.079
7 Pm 0.442 0.944 0.305
8 Pm 0.558 0.056 0.695
9 Pm 0.630 0.630 0.921
10 Pm 0.944 0.442 0.305

5.
Ca2LaPm: relaxed, PBE.

Summary:
energy above the most stable polymorph in this dataset = 0.0000 eV/atom
space group = P4mm (99)
formation energy = 28 meV/atom
total DFT energy (no corrections) = -3.39 eV/atom

abc: 3.780 3.780 10.827
angles: 90.00 90.00 90.00
Element x y z (fractional)
1 Ca 0.000 0.000 0.000
2 Ca 0.500 0.500 0.266
3 La 0.500 0.500 0.738
4 Pm 0.000 0.000 0.516

6.
CaLa6Pm8: relaxed, PBE.

Summary:
space group = R-3 (148)
formation energy = 133 meV/atom
total DFT energy (no corrections) = -4.51 eV/atom

abc: 8.490 8.490 8.490
angles: 72.05 72.05 72.05
Element x y z (fractional)
1 Ca 0.000 0.000 0.000
2 La 0.166 0.623 0.426
3 La 0.377 0.574 0.834
4 La 0.426 0.166 0.623
5 La 0.574 0.834 0.377
6 La 0.623 0.426 0.166
7 La 0.834 0.377 0.574
8 Pm 0.054 0.383 0.860
9 Pm 0.140 0.946 0.617
10 Pm 0.227 0.227 0.227
11 Pm 0.383 0.860 0.054
12 Pm 0.617 0.140 0.946
13 Pm 0.773 0.773 0.773
14 Pm 0.860 0.054 0.383
15 Pm 0.946 0.617 0.140

Which value of formation energy does entry 1 give?
45 meV/atom